1.
A plane-wave DFT calculation with GGA-PBE was carried out for a relaxed structure of PmZnSn2.

Cell lengths 4.426, 4.426, 9.988 Å; angles 90.00, 90.00, 90.00 degrees
Fractional positions:
Pm 0.500 0.000 0.752
Sn 0.500 0.000 0.179
Sn 0.000 0.000 0.500
Pm 0.000 0.500 0.248
Zn 0.500 0.500 0.000
Sn 0.500 0.500 0.500
Zn 0.000 0.000 0.000
Sn 0.000 0.500 0.821

Output
* ΔE to the lowest computed polymorph: 0.0000 eV per atom
* E: -4.00 eV/atom
* space group: P4/nmm, No. 129
* E_form: -2.0 eV/f.u.

2.
A plane-wave DFT calculation with GGA-PBE was carried out for a relaxed structure of TaGe2S.

Cell lengths 6.219, 6.219, 6.475 Å; angles 61.30, 61.30, 90.00 degrees
Fractional positions:
Ge 0.875 0.857 0.750
Ta 0.750 0.250 0.500
Ge 0.375 0.393 0.750
Ta 0.000 0.000 0.000
S 0.500 0.500 0.000
Ge 0.143 0.625 0.250
S 0.250 0.750 0.500
Ge 0.607 0.125 0.250

Output
* raw formation energy: 0.666 eV per atom
* E: -5.64 eV/atom
* space group: I-42d, No. 122

3.
A plane-wave DFT calculation with GGA-PBE was carried out for a relaxed structure of Er6Ru5Pt.

Cell lengths 4.790, 6.761, 7.552 Å; angles 90.00, 71.51, 90.00 degrees
Fractional positions:
Ru 0.000 0.500 0.000
Er 0.500 0.746 0.000
Ru 0.666 0.000 0.667
Er 0.500 0.254 0.000
Er 0.169 0.748 0.662
Ru 0.334 0.500 0.331
Er 0.831 0.748 0.338
Pt 0.000 0.000 0.000
Ru 0.666 0.500 0.669
Er 0.831 0.252 0.338
Er 0.169 0.252 0.662
Ru 0.334 0.000 0.333

Output
* E: -7.21 eV/atom
* space group: Cmmm, No. 65
* E_form: -6.7 eV/f.u.

4.
A plane-wave DFT calculation with GGA-PBE was carried out for a relaxed structure of Sm8Ga3CoI4.

Cell lengths 8.430, 9.197, 8.543 Å; angles 118.25, 119.56, 90.00 degrees
Fractional positions:
Sm 0.218 0.692 0.974
Sm 0.262 0.283 0.524
I 0.500 0.000 0.500
Ga 0.500 0.500 0.500
Sm 0.224 0.701 0.449
Sm 0.782 0.308 0.026
I 0.500 0.000 0.000
Sm 0.776 0.299 0.551
I 0.000 0.000 0.500
I 0.000 0.000 0.000
Sm 0.738 0.717 0.476
Ga 0.500 0.500 0.000
Ga 0.000 0.500 0.500
Sm 0.244 0.308 0.026
Sm 0.756 0.692 0.974
Co 0.000 0.500 0.000

Output
* raw formation energy: -0.678 eV per atom
* E: -4.44 eV/atom
* space group: C2/m, No. 12

5.
A plane-wave DFT calculation with GGA-PBE was carried out for a relaxed structure of Sc4Cd3Au.

Cell lengths 3.499, 3.499, 14.033 Å; angles 90.00, 90.00, 90.00 degrees
Fractional positions:
Cd 0.500 0.500 0.753
Sc 0.000 0.000 0.372
Sc 0.000 0.000 0.884
Au 0.500 0.500 0.000
Sc 0.000 0.000 0.116
Sc 0.000 0.000 0.628
Cd 0.500 0.500 0.500
Cd 0.500 0.500 0.247

Output
* E: -4.34 eV/atom
* space group: P4/mmm, No. 123
* E_form: -3.4 eV/f.u.

6.
A plane-wave DFT calculation with GGA-PBE was carried out for a relaxed structure of La3Dy8Mg.

Cell lengths 8.352, 8.352, 8.352 Å; angles 95.44, 116.91, 116.91 degrees
Fractional positions:
Dy 0.250 0.368 0.368
La 0.500 0.750 0.250
Dy 0.478 0.226 0.226
Dy 0.000 0.774 0.253
Dy 0.000 0.253 0.774
La 0.500 0.250 0.750
Dy 0.522 0.747 0.747
La 0.000 0.500 0.500
Dy 0.750 0.118 0.118
Dy 0.000 0.632 0.882
Dy 0.000 0.882 0.632
Mg 0.000 0.000 0.000

Output
* E: -3.87 eV/atom
* space group: I-42m, No. 121
* E_form: 6.7 eV/f.u.

7.
A plane-wave DFT calculation with GGA-PBE was carried out for a relaxed structure of LiBeFe.

Cell lengths 4.223, 4.223, 4.223 Å; angles 149.53, 127.82, 61.63 degrees
Fractional positions:
Li 0.664 0.664 0.000
Be 0.993 0.993 0.000
Fe 0.343 0.343 0.000

Output
* ΔE to the lowest computed polymorph: 0.1791 eV per atom
* E: -4.41 eV/atom
* space group: Imm2, No. 44
* E_form: 0.9 eV/f.u.

8.
A plane-wave DFT calculation with GGA-PBE was carried out for a relaxed structure of ScZnGa3.

Cell lengths 5.311, 5.311, 5.311 Å; angles 90.00, 90.00, 90.00 degrees
Fractional positions:
Ga 0.500 0.000 0.000
Sc 0.000 0.000 0.000
Ga 0.000 0.500 0.000
Ga 0.000 0.000 0.500
Zn 0.500 0.500 0.500

Output
* E: -2.69 eV/atom
* space group: Pm-3m, No. 221
* E_form: 3.2 eV/f.u.

9.
A plane-wave DFT calculation with GGA-PBE was carried out for a relaxed structure of ZrMn2TlRu.

Cell lengths 4.911, 4.911, 4.784 Å; angles 90.00, 90.00, 90.00 degrees
Fractional positions:
Tl 0.500 0.500 0.500
Ru 0.000 0.000 0.500
Mn 0.000 0.500 0.000
Mn 0.500 0.000 0.000
Zr 0.000 0.000 0.000

Output
* E: -6.42 eV/atom
* space group: P4/mmm, No. 123
* E_form: 6.4 eV/f.u.

10.
A plane-wave DFT calculation with GGA-PBE was carried out for a relaxed structure of CaSm2Ga.

Cell lengths 5.432, 5.432, 5.432 Å; angles 60.00, 60.00, 60.00 degrees
Fractional positions:
Sm 0.250 0.250 0.250
Sm 0.750 0.750 0.750
Ga 0.500 0.500 0.500
Ca 0.000 0.000 0.000

Output
* ΔE to the lowest computed polymorph: 0.1101 eV per atom
* E: -3.74 eV/atom
* space group: Fm-3m, No. 225
* E_form: -0.5 eV/f.u.